<i>
Y2AlO: optimized geometry, PBE-GGA.

Cell and atoms, written as CIF:
```
data_Y2AlO
_space_group_name_H-M_alt 'P 1'
_space_group_IT_number 1
_space_group_name_Hall 'P 1'
_cell_length_a 4.9180
_cell_length_b 4.9180
_cell_length_c 4.9180
_cell_angle_alpha 60.00
_cell_angle_beta 60.00
_cell_angle_gamma 60.00
loop_
_atom_site_label
_atom_site_fract_x
_atom_site_fract_y
_atom_site_fract_z
Y1 0.2500 0.2500 0.2500
Y2 0.7500 0.7500 0.7500
Al1 0.0000 0.0000 0.0000
O1 0.5000 0.5000 0.5000
```

---

<ii>
Y2AlO: optimized geometry, PBE-GGA.

Cell and atoms, written as CIF:
```
data_Y2AlO
_space_group_name_H-M_alt 'P 1'
_space_group_IT_number 1
_space_group_name_Hall 'P 1'
_cell_length_a 6.2177
_cell_length_b 6.2177
_cell_length_c 6.2177
_cell_angle_alpha 112.98
_cell_angle_beta 112.98
_cell_angle_gamma 102.65
loop_
_atom_site_label
_atom_site_fract_x
_atom_site_fract_y
_atom_site_fract_z
Y1 0.0271 0.6250 0.9021
Y2 0.3750 0.2771 0.4021
Y3 0.7229 0.1250 0.0979
Y4 0.8750 0.9729 0.5979
Al1 0.2500 0.7500 0.5000
Al2 0.5000 0.5000 0.0000
O1 0.0000 0.0000 0.0000
O2 0.7500 0.2500 0.5000
```

---

<iii>
Y2AlO: optimized geometry, PBE-GGA.

Cell and atoms, written as CIF:
```
data_Y2AlO
_space_group_name_H-M_alt 'P 1'
_space_group_IT_number 1
_space_group_name_Hall 'P 1'
_cell_length_a 8.9645
_cell_length_b 8.9645
_cell_length_c 8.9645
_cell_angle_alpha 22.04
_cell_angle_beta 22.04
_cell_angle_gamma 22.04
loop_
_atom_site_label
_atom_site_fract_x
_atom_site_fract_y
_atom_site_fract_z
Y1 0.1145 0.1145 0.1145
Y2 0.8855 0.8855 0.8855
Al1 0.0000 0.0000 0.0000
O1 0.5000 0.5000 0.5000
```

---

<ii> has the most favorable energy; the next structure is 318 meV per atom above.

---

<i>
Y2AlO2: optimized geometry, PBE-GGA.

Cell and atoms, written as CIF:
```
data_Y2AlO2
_space_group_name_H-M_alt 'P 1'
_space_group_IT_number 1
_space_group_name_Hall 'P 1'
_cell_length_a 5.3297
_cell_length_b 5.3297
_cell_length_c 5.3297
_cell_angle_alpha 127.13
_cell_angle_beta 127.13
_cell_angle_gamma 78.05
loop_
_atom_site_label
_atom_site_fract_x
_atom_site_fract_y
_atom_site_fract_z
Y1 0.2500 0.7500 0.5000
Y2 0.7500 0.2500 0.5000
Al1 0.0000 0.0000 0.0000
O1 0.2459 0.2459 0.0000
O2 0.7541 0.7541 0.0000
```

---

<ii>
Y2AlO2: optimized geometry, PBE-GGA.

Cell and atoms, written as CIF:
```
data_Y2AlO2
_space_group_name_H-M_alt 'P 1'
_space_group_IT_number 1
_space_group_name_Hall 'P 1'
_cell_length_a 7.0591
_cell_length_b 7.0591
_cell_length_c 3.0927
_cell_angle_alpha 90.00
_cell_angle_beta 90.00
_cell_angle_gamma 90.00
loop_
_atom_site_label
_atom_site_fract_x
_atom_site_fract_y
_atom_site_fract_z
Y1 0.1630 0.3370 0.0000
Y2 0.3370 0.8370 0.0000
Y3 0.6630 0.1630 0.0000
Y4 0.8370 0.6630 0.0000
Al1 0.0000 0.0000 0.5000
Al2 0.5000 0.5000 0.5000
O1 0.1325 0.6325 0.5000
O2 0.3675 0.1325 0.5000
O3 0.6325 0.8675 0.5000
O4 0.8675 0.3675 0.5000
```

---

<i> has the most favorable energy; the next structure is 387 meV per atom above.

---

<i>
AlZnO2: optimized geometry, PBE-GGA.

Cell and atoms, written as CIF:
```
data_AlZnO2
_space_group_name_H-M_alt 'P 1'
_space_group_IT_number 1
_space_group_name_Hall 'P 1'
_cell_length_a 5.5139
_cell_length_b 5.5139
_cell_length_c 5.5139
_cell_angle_alpha 127.90
_cell_angle_beta 127.90
_cell_angle_gamma 76.79
loop_
_atom_site_label
_atom_site_fract_x
_atom_site_fract_y
_atom_site_fract_z
Al1 0.0000 0.0000 0.0000
Al2 0.7500 0.2500 0.5000
Zn1 0.2500 0.7500 0.5000
Zn2 0.5000 0.5000 0.0000
O1 0.0352 0.6250 0.9102
O2 0.3750 0.2852 0.4102
O3 0.7148 0.1250 0.0898
O4 0.8750 0.9648 0.5898
```

---

<ii>
AlZnO2: optimized geometry, PBE-GGA.

Cell and atoms, written as CIF:
```
data_AlZnO2
_space_group_name_H-M_alt 'P 1'
_space_group_IT_number 1
_space_group_name_Hall 'P 1'
_cell_length_a 6.2552
_cell_length_b 6.2552
_cell_length_c 6.2552
_cell_angle_alpha 26.32
_cell_angle_beta 26.32
_cell_angle_gamma 26.32
loop_
_atom_site_label
_atom_site_fract_x
_atom_site_fract_y
_atom_site_fract_z
Al1 0.0000 0.0000 0.0000
Zn1 0.5000 0.5000 0.5000
O1 0.3871 0.3871 0.3871
O2 0.6129 0.6129 0.6129
```

---

<iii>
AlZnO2: optimized geometry, PBE-GGA.

Cell and atoms, written as CIF:
```
data_AlZnO2
_space_group_name_H-M_alt 'P 1'
_space_group_IT_number 1
_space_group_name_Hall 'P 1'
_cell_length_a 3.8559
_cell_length_b 3.8559
_cell_length_c 3.8559
_cell_angle_alpha 60.00
_cell_angle_beta 60.00
_cell_angle_gamma 60.00
loop_
_atom_site_label
_atom_site_fract_x
_atom_site_fract_y
_atom_site_fract_z
Al1 0.0000 0.0000 0.0000
Zn1 0.5000 0.5000 0.5000
O1 0.2500 0.2500 0.2500
O2 0.7500 0.7500 0.7500
```

---

<ii> has the most favorable energy; the next structure is 137 meV per atom above.

---

<i>
AlZn2O: optimized geometry, PBE-GGA.

Cell and atoms, written as CIF:
```
data_AlZn2O
_space_group_name_H-M_alt 'P 1'
_space_group_IT_number 1
_space_group_name_Hall 'P 1'
_cell_length_a 4.3755
_cell_length_b 4.3755
_cell_length_c 4.3755
_cell_angle_alpha 60.00
_cell_angle_beta 60.00
_cell_angle_gamma 60.00
loop_
_atom_site_label
_atom_site_fract_x
_atom_site_fract_y
_atom_site_fract_z
Al1 0.0000 0.0000 0.0000
Zn1 0.2500 0.2500 0.2500
Zn2 0.7500 0.7500 0.7500
O1 0.5000 0.5000 0.5000
```

---

<ii>
AlZn2O: optimized geometry, PBE-GGA.

Cell and atoms, written as CIF:
```
data_AlZn2O
_space_group_name_H-M_alt 'P 1'
_space_group_IT_number 1
_space_group_name_Hall 'P 1'
_cell_length_a 5.7791
_cell_length_b 5.7791
_cell_length_c 5.7791
_cell_angle_alpha 120.39
_cell_angle_beta 120.39
_cell_angle_gamma 89.32
loop_
_atom_site_label
_atom_site_fract_x
_atom_site_fract_y
_atom_site_fract_z
Al1 0.0000 0.0000 0.0000
Al2 0.7500 0.2500 0.5000
Zn1 0.2063 0.6250 0.0813
Zn2 0.3750 0.4563 0.5813
Zn3 0.5437 0.1250 0.9187
Zn4 0.8750 0.7937 0.4187
O1 0.2500 0.7500 0.5000
O2 0.5000 0.5000 0.0000
```

---

<ii> has the most favorable energy; the next structure is 627 meV per atom above.